Entry A
## DyTlHgTe3 (PBE)

Data for a relaxed DyTlHgTe3 crystal.

It has space group Cmcm (No. 63), with a = 4.418 Å, b = 15.482 Å, c = 11.600 Å, α = 90.00°, β = 90.00° and γ = 90.00°. The distinct sites, in fractional coordinates, are Dy at (0.000, 0.000, 0.000), Tl at (0.000, 0.239, 0.250), Hg at (0.000, 0.461, 0.750), Te at (0.000, 0.082, 0.750) and Te at (0.000, 0.362, 0.546).

Entry B
## DyTlHgTe3 (PBE)

Data for a relaxed DyTlHgTe3 crystal.

It has space group Pnma (No. 62), with a = 15.237 Å, b = 4.459 Å, c = 11.860 Å, α = 90.00°, β = 90.00° and γ = 90.00°. The distinct sites, in fractional coordinates, are Dy at (0.025, 0.250, 0.157), Tl at (0.237, 0.250, 0.448), Hg at (0.020, 0.750, 0.393), Te at (0.101, 0.250, 0.921), Te at (0.101, 0.750, 0.626) and Te at (0.157, 0.750, 0.232).

Name the most stable of them. entry A.

Entry A
## Dy2Tm3Hg3 (PBE)

Data for a relaxed Dy2Tm3Hg3 crystal.

It has space group P-6m2 (No. 187), with a = 6.9403 Å, b = 6.9403 Å, c = 5.1223 Å, α = 90.00°, β = 90.00° and γ = 120.00°. The distinct sites, in fractional coordinates, are Dy at (0.0000, 0.0000, 0.0000), Dy at (0.3333, 0.6667, 0.5000), Tm at (0.3418, 0.1709, 0.5000) and Hg at (0.5038, 0.0075, 0.0000).

Entry B
## Dy2Tm3Hg3 (PBE)

Data for a relaxed Dy2Tm3Hg3 crystal.

It has space group Pm (No. 6), with a = 6.527 Å, b = 5.293 Å, c = 6.539 Å, α = 90.00°, β = 112.00° and γ = 90.00°. The distinct sites, in fractional coordinates, are Dy at (0.000, 0.000, 0.000), Dy at (0.250, 0.500, 0.637), Tm at (0.463, 0.000, 0.931), Tm at (0.532, 0.000, 0.454), Tm at (0.765, 0.500, 0.217), Hg at (0.010, 0.000, 0.485), Hg at (0.279, 0.500, 0.141) and Hg at (0.749, 0.500, 0.730).

Name the most stable of them. entry B.

Entry A
## DyTm2Hg (PBE)

Data for a relaxed DyTm2Hg crystal.

It has space group Ama2 (No. 40), with a = 5.073 Å, b = 10.505 Å, c = 8.254 Å, α = 90.00°, β = 90.00° and γ = 90.00°. The distinct sites, in fractional coordinates, are Dy at (0.250, 0.114, 0.000), Tm at (0.250, 0.113, 0.581), Tm at (0.250, 0.391, 0.792) and Hg at (0.250, 0.321, 0.289).

Entry B
## DyTm2Hg (PBE)

Data for a relaxed DyTm2Hg crystal.

It has space group Cmcm (No. 63), with a = 6.798 Å, b = 11.797 Å, c = 5.371 Å, α = 90.00°, β = 90.00° and γ = 90.00°. The distinct sites, in fractional coordinates, are Dy at (0.000, 0.172, 0.250), Tm at (0.243, 0.415, 0.250) and Hg at (0.000, 0.335, 0.750).

Name the most stable of them. entry A.

Entry A
## DyTmHg2 (PBE)

Data for a relaxed DyTmHg2 crystal.

It has space group Amm2 (No. 38), with a = 5.164 Å, b = 6.756 Å, c = 11.666 Å, α = 90.00°, β = 90.00° and γ = 90.00°. The distinct sites, in fractional coordinates, are Dy at (0.000, 0.000, 0.000), Dy at (0.500, 0.000, 0.363), Tm at (0.500, 0.237, 0.619), Hg at (0.000, 0.000, 0.527), Hg at (0.000, 0.245, 0.265) and Hg at (0.500, 0.000, 0.863).

Entry B
## DyTmHg2 (PBE)

Data for a relaxed DyTmHg2 crystal.

It has space group Cmcm (No. 63), with a = 7.325 Å, b = 10.514 Å, c = 5.219 Å, α = 90.00°, β = 90.00° and γ = 90.00°. The distinct sites, in fractional coordinates, are Dy at (0.000, 0.130, 0.250), Tm at (0.000, 0.374, 0.750) and Hg at (0.248, 0.380, 0.250).

Name the most stable of them. entry B.

Entry A
## DyHoMg (PBE)

Data for a relaxed DyHoMg crystal.

It has space group Cmcm (No. 63), with a = 3.647 Å, b = 17.181 Å, c = 5.454 Å, α = 90.00°, β = 90.00° and γ = 90.00°. The distinct sites, in fractional coordinates, are Dy at (0.000, 0.094, 0.250), Ho at (0.000, 0.226, 0.750) and Mg at (0.000, 0.435, 0.250).

Entry B
## DyHoMg (PBE)

Data for a relaxed DyHoMg crystal.

It has space group F-43m (No. 216), with a = 7.364 Å, b = 7.364 Å, c = 7.364 Å, α = 90.00°, β = 90.00° and γ = 90.00°. The distinct sites, in fractional coordinates, are Dy at (0.000, 0.000, 0.000), Ho at (0.000, 0.000, 0.500) and Mg at (0.250, 0.250, 0.250).

Name the most stable of them. entry A.

Entry A
## DyHoNO (PBE)

Data for a relaxed DyHoNO crystal.

It has space group Pmma (No. 51), with a = 4.854 Å, b = 3.949 Å, c = 6.856 Å, α = 90.00°, β = 90.00° and γ = 90.00°. The distinct sites, in fractional coordinates, are Dy at (0.250, 0.000, 0.167), Ho at (0.250, 0.500, 0.666), N at (0.250, 0.000, 0.834) and O at (0.250, 0.500, 0.330).

Entry B
## DyHoNO (PBE)

Data for a relaxed DyHoNO crystal.

It has space group Pbcm (No. 57), with a = 8.018 Å, b = 6.590 Å, c = 4.901 Å, α = 90.00°, β = 90.00° and γ = 90.00°. The distinct sites, in fractional coordinates, are Dy at (0.122, 0.070, 0.250), Ho at (0.374, 0.584, 0.250), N at (0.376, 0.571, 0.750) and O at (0.134, 0.093, 0.750).

Entry C
## DyHoNO (PBE)

Data for a relaxed DyHoNO crystal.

It has space group Pbcm (No. 57), with a = 8.025 Å, b = 6.579 Å, c = 4.908 Å, α = 90.00°, β = 90.00° and γ = 90.00°. The distinct sites, in fractional coordinates, are Dy at (0.127, 0.083, 0.250), Ho at (0.378, 0.570, 0.250), N at (0.126, 0.069, 0.750) and O at (0.370, 0.594, 0.750).

Name the most stable of them. entry A.